# 1
BeMoIr2: optimized geometry, PBE.

**Energy of formation from the pure elements**: -0.1374 eV per atom
**VASP energy**: -0.603 Ry per atom

a b c (Å): 4.8002 4.8002 4.8002
angles (deg): 134.76 134.76 65.90
Last column: nearest neighbours and their distance in Å.
Sites, in units of the cell vectors:
Be  0.7500  0.2500  0.5000  8 Ir 2.61-2.73, 4 Mo 2.73
Ir  0.0000  0.0000  0.0000  4 Mo 2.61, 4 Be 2.73, 4 Ir 2.73
Ir  0.2500  0.7500  0.5000  4 Be 2.61, 4 Mo 2.73, 4 Ir 2.73
Mo  0.5000  0.5000  0.0000  8 Ir 2.61-2.73, 4 Be 2.73

***

# 2
Th2Be3Si4Pd: optimized geometry, PBE.

**Uncorrected formation energy**: -0.52 eV/atom
**VASP energy**: -0.427 Ry per atom

a b c (Å): 4.1017 4.1017 9.5925
angles (deg): 90.00 90.00 90.00
Last column: nearest neighbours and their distance in Å.
Sites, in units of the cell vectors:
Si  0.0000  0.5000  0.3581  3 Be 2.29-2.46, 2 Pd 2.46
Th  0.5000  0.0000  0.2424  8 Si 3.10-3.11, 7 Be 3.13-3.47, 2 Pd 3.21
Si  0.0000  0.0000  0.0000  4 Be 2.35
Si  0.5000  0.0000  0.6419  3 Be 2.29-2.46, 2 Pd 2.46
Be  0.0000  0.0000  0.5000  4 Si 2.46
Th  0.0000  0.5000  0.7576  8 Si 3.10-3.11, 7 Be 3.13-3.47, 2 Pd 3.21
Be  0.0000  0.5000  0.1196  5 Si 2.29-2.35
Pd  0.5000  0.5000  0.5000  4 Si 2.46
Be  0.5000  0.0000  0.8804  5 Si 2.29-2.35
Si  0.5000  0.5000  0.0000  4 Be 2.35

***

# 3
LiSiAs2: optimized geometry, PBE.

**Uncorrected formation energy**: 0.15 eV/atom
**VASP energy**: -0.294 Ry per atom

a b c (Å): 2.7445 2.7445 9.5263
angles (deg): 90.00 90.00 90.05
Last column: nearest neighbours and their distance in Å.
Sites, in units of the cell vectors:
Si  0.5000  0.5000  0.7299  4 Si 2.74, 4 Li 2.83, 4 As 2.86
As  0.5000  0.5000  0.3058  4 As 2.74, 4 Li 2.77
As  0.0000  0.0000  0.9510  4 As 2.74, 4 Si 2.86
Li  0.0000  0.0000  0.5132  4 Li 2.74, 4 As 2.77, 4 Si 2.83

***

# 4
NdEr8Th2: optimized geometry, PBE.

**Energy of formation from the pure elements**: 0.1796 eV per atom
**VASP energy**: -0.362 Ry per atom

a b c (Å): 5.5189 10.1160 10.1160
angles (deg): 40.33 92.03 92.03
Last column: nearest neighbours and their distance in Å.
Sites, in units of the cell vectors:
Er  0.2394  0.5471  0.5471  2 Er 3.14-3.44, 1 Th 3.23
Er  0.7372  0.8630  0.4018  4 Er 3.22-3.52, 2 Th 3.42-3.53, 1 Nd 3.50
Er  0.2336  0.1832  0.1832  4 Th 3.32-3.55, 4 Er 3.43-3.52, 1 Nd 3.66
Er  0.7606  0.4529  0.4529  2 Er 3.14-3.44, 1 Th 3.23
Nd  0.0000  0.0000  0.0000  10 Er 3.50-3.82
Er  0.2628  0.1370  0.5982  4 Er 3.22-3.52, 2 Th 3.42-3.53, 1 Nd 3.50
Er  0.7664  0.8168  0.8168  4 Th 3.32-3.55, 4 Er 3.43-3.52, 1 Nd 3.66
Er  0.7372  0.4018  0.8630  4 Er 3.22-3.52, 2 Th 3.42-3.53, 1 Nd 3.50
Th  0.2593  0.7173  0.7173  9 Er 3.23-3.55
Th  0.7407  0.2827  0.2827  9 Er 3.23-3.55
Er  0.2628  0.5982  0.1370  4 Er 3.22-3.52, 2 Th 3.42-3.53, 1 Nd 3.50

***

# 5
EuDyCu: optimized geometry, PBE.

**Energy of formation from the pure elements**: -0.0842 eV per atom
**VASP energy**: -0.471 Ry per atom

a b c (Å): 3.5855 3.5855 6.8491
angles (deg): 105.17 105.17 90.00
Last column: nearest neighbours and their distance in Å.
Sites, in units of the cell vectors:
Eu  0.0250  0.0250  0.0500  4 Cu 3.22, 1 Dy 3.43, 4 Eu 3.59
Dy  0.2944  0.2944  0.5888  4 Cu 2.92
Cu  0.6806  0.6806  0.3613  4 Dy 2.92, 4 Eu 3.22

***

# 6
Ca2TeRh: optimized geometry, PBE.

**Uncorrected formation energy**: -0.51 eV/atom
**VASP energy**: -0.304 Ry per atom

a b c (Å): 4.2308 4.2308 6.2495
angles (deg): 90.00 90.00 90.00
Last column: nearest neighbours and their distance in Å.
Sites, in units of the cell vectors:
Ca  0.5000  0.5000  0.3281  4 Rh 3.03, 2 Te 3.08-3.17
Te  0.5000  0.5000  0.8205  6 Ca 3.08-3.17
Rh  0.0000  0.0000  0.4053  5 Ca 2.87-3.03
Ca  0.0000  0.0000  0.9462  1 Rh 2.87, 4 Te 3.09

***

# 7
CoSb4Mo: optimized geometry, PBE.

**Uncorrected formation energy**: 1.27 eV/atom
**VASP energy**: -0.328 Ry per atom

a b c (Å): 6.0882 6.0882 6.0882
angles (deg): 60.00 60.00 60.00
Last column: nearest neighbours and their distance in Å.
Sites, in units of the cell vectors:
Sb  0.3757  0.8730  0.3757  6 Sb 3.03-3.06
Sb  0.8730  0.3757  0.3757  6 Sb 3.03-3.06
Sb  0.3757  0.3757  0.3757  6 Sb 3.03-3.06
Sb  0.3757  0.3757  0.8730  6 Sb 3.03-3.06
Co  0.7500  0.7500  0.7500  12 Sb 3.57, 4 Mo 3.73
Mo  0.0000  0.0000  0.0000  12 Sb 3.57, 4 Co 3.73

***

# 8
LiNi2As: optimized geometry, PBE.

**Energy of formation from the pure elements**: -0.2213 eV per atom
**VASP energy**: -0.349 Ry per atom

a b c (Å): 4.0750 2.8080 4.6581
angles (deg): 72.03 90.00 90.00
Last column: nearest neighbours and their distance in Å.
Sites, in units of the cell vectors:
Li  0.5000  0.6942  0.7275  3 Ni 2.30-2.55
Ni  0.0000  0.0490  0.0359  3 As 2.42-2.45, 4 Ni 2.64-2.65
Ni  0.5000  0.4399  0.2469  3 Li 2.30-2.55, 2 As 2.30
As  0.0000  0.3169  0.4897  5 Ni 2.30-2.45

***

# 9
Tm12MgAl3: optimized geometry, PBE.

**Energy of formation from the pure elements**: -0.1370 eV per atom
**VASP energy**: -0.315 Ry per atom

a b c (Å): 4.7265 4.7265 18.9889
angles (deg): 90.00 90.00 90.00
Last column: nearest neighbours and their distance in Å.
Sites, in units of the cell vectors:
Tm  0.5000  0.0000  0.1316  2 Al 3.30, 8 Tm 3.31-3.44, 2 Mg 3.44
Al  0.0000  0.0000  0.5000  12 Tm 3.32-3.34
Tm  0.5000  0.5000  0.2540  8 Tm 3.31-3.32, 4 Al 3.34
Al  0.0000  0.0000  0.7468  12 Tm 3.30-3.34
Al  0.0000  0.0000  0.2532  12 Tm 3.30-3.34
Mg  0.0000  0.0000  0.0000  12 Tm 3.34-3.44
Tm  0.5000  0.5000  0.5000  8 Tm 3.32, 4 Al 3.34
Tm  0.5000  0.5000  0.7460  8 Tm 3.31-3.32, 4 Al 3.34
Tm  0.5000  0.5000  0.0000  4 Mg 3.34, 8 Tm 3.44
Tm  0.0000  0.5000  0.3770  8 Tm 3.32-3.34, 4 Al 3.32-3.33
Tm  0.5000  0.0000  0.6230  8 Tm 3.32-3.34, 4 Al 3.32-3.33
Tm  0.5000  0.0000  0.3770  8 Tm 3.32-3.34, 4 Al 3.32-3.33
Tm  0.0000  0.5000  0.6230  8 Tm 3.32-3.34, 4 Al 3.32-3.33
Tm  0.5000  0.0000  0.8684  2 Al 3.30, 8 Tm 3.31-3.44, 2 Mg 3.44
Tm  0.0000  0.5000  0.8684  2 Al 3.30, 8 Tm 3.31-3.44, 2 Mg 3.44
Tm  0.0000  0.5000  0.1316  2 Al 3.30, 8 Tm 3.31-3.44, 2 Mg 3.44

***

# 10
Nd6Cd2Ir: optimized geometry, PBE.

**Energy of formation from the pure elements**: -0.2294 eV per atom
**VASP energy**: -0.338 Ry per atom

a b c (Å): 7.1410 7.5380 10.8610
angles (deg): 90.00 89.88 90.00
Last column: nearest neighbours and their distance in Å.
Sites, in units of the cell vectors:
Nd  0.1019  0.9973  0.7506  1 Ir 2.82
Cd  0.9523  0.4093  0.7512  7 Nd 3.24-3.62
Nd  0.8228  0.6976  0.9597  1 Ir 2.78
Ir  0.5000  0.5000  0.0000  6 Nd 2.78-2.82
Nd  0.6019  0.5027  0.2506  1 Ir 2.82
Nd  0.8981  0.0027  0.2494  1 Ir 2.82
Nd  0.3981  0.4973  0.7494  1 Ir 2.82
Nd  0.8063  0.6827  0.5422  1 Ir 2.80
Nd  0.1937  0.3173  0.4578  1 Ir 2.80
Cd  0.5477  0.9093  0.7488  7 Nd 3.24-3.62
Nd  0.3063  0.8173  0.0422  1 Ir 2.80
Ir  0.0000  0.0000  0.5000  6 Nd 2.78-2.82
Cd  0.0477  0.5907  0.2488  7 Nd 3.24-3.62
Nd  0.6772  0.1976  0.5403  1 Ir 2.78
Cd  0.4523  0.0907  0.2512  7 Nd 3.24-3.62
Nd  0.1772  0.3024  0.0403  1 Ir 2.78
Nd  0.6937  0.1827  0.9578  1 Ir 2.80
Nd  0.3228  0.8024  0.4597  1 Ir 2.78

***

# 11
Tb2YO4: optimized geometry, PBE.

**Uncorrected formation energy**: -3.20 eV/atom
**VASP energy**: -0.609 Ry per atom

a b c (Å): 3.4536 5.9050 6.4071
angles (deg): 119.50 105.64 90.00
Last column: nearest neighbours and their distance in Å.
Sites, in units of the cell vectors:
O  0.1339  0.8414  0.2678  3 Tb 2.25-2.41, 1 Y 2.28
Tb  0.7013  0.7019  0.4026  6 O 2.25-2.50
O  0.3543  0.7297  0.7087  3 Tb 2.27-2.50, 2 Y 2.41
Tb  0.2987  0.2981  0.5974  6 O 2.25-2.50
O  0.8661  0.1586  0.7322  3 Tb 2.25-2.41, 1 Y 2.28
Y  0.0000  0.0000  0.0000  6 O 2.28-2.41
O  0.6457  0.2703  0.2913  3 Tb 2.27-2.50, 2 Y 2.41

***

# 12
TbThRe4: optimized geometry, PBE.

**Energy of formation from the pure elements**: -0.1335 eV per atom
**VASP energy**: -0.767 Ry per atom

a b c (Å): 5.4188 5.4188 9.1367
angles (deg): 90.00 90.00 120.00
Last column: nearest neighbours and their distance in Å.
Sites, in units of the cell vectors:
Re  0.6596  0.8298  0.2579  6 Re 2.65-2.85
Re  0.0000  0.0000  0.5000  6 Re 2.73
Re  0.1702  0.8298  0.2579  6 Re 2.65-2.85
Th  0.6667  0.3333  0.0599  12 Re 3.18-3.28, 3 Th 3.31, 1 Tb 3.44
Tb  0.6667  0.3333  0.4368  12 Re 3.16-3.18, 3 Tb 3.34, 1 Th 3.44
Re  0.1702  0.3404  0.2579  6 Re 2.65-2.85
Th  0.3333  0.6667  0.9401  12 Re 3.18-3.28, 3 Th 3.31, 1 Tb 3.44
Re  0.3404  0.1702  0.7421  6 Re 2.65-2.85
Re  0.0000  0.0000  0.0000  6 Re 2.85, 6 Th 3.18
Tb  0.3333  0.6667  0.5632  12 Re 3.16-3.18, 3 Tb 3.34, 1 Th 3.44
Re  0.8298  0.6596  0.7421  6 Re 2.65-2.85
Re  0.8298  0.1702  0.7421  6 Re 2.65-2.85

***

Total magnetic moment? In order: 0.00 0.00 0.00 0.00 7.24 0.00 6.18 0.00 0.00 0.00 0.00 0.01 μB/cell.